Record 1
DFT (PBE-GGA) results for a relaxed Zr2AlAu2 crystal.

a = 7.014 Å, b = 7.014 Å, c = 4.083 Å
α = 90.00°, β = 90.00°, γ = 90.00°
Space group P4/mbm (No. 127)
Symmetry-distinct sites (fractional):
Zr: 0.168 0.332 0.000 (multiplicity 4)
Al: 0.000 0.000 0.500 (multiplicity 2)
Au: 0.140 0.640 0.500 (multiplicity 4)

Values from the calculation:
* magnetization: 0.0 μB per cell
* formation energy from the elements: -0.4889 eV/atom
* distance to the lowest polymorph of the same formula: 0 meV/atom
* ρ: 9.98 g/cm³



Record 2
DFT (PBE-GGA) results for a relaxed MnZnTe crystal.

a = 16.628 Å, b = 4.151 Å, c = 3.528 Å
α = 90.00°, β = 90.54°, γ = 90.00°
Space group C2/m (No. 12)
Symmetry-distinct sites (fractional):
Mn: 0.043 0.000 0.215 (multiplicity 4)
Zn: 0.058 0.500 0.734 (multiplicity 4)
Te: 0.165 0.000 0.750 (multiplicity 4)

Values from the calculation:
* formation energy (no corrections): 115 meV per atom
* magnetization: 4.1 μB per cell
* distance to the lowest polymorph of the same formula: 215 meV/atom
* ρ: 6.76 g/cm³



Record 3
DFT (PBE-GGA) results for a relaxed AlSiRu2 crystal.

a = 5.916 Å, b = 5.916 Å, c = 5.916 Å
α = 90.00°, β = 90.00°, γ = 90.00°
Space group Fm-3m (No. 225)
Symmetry-distinct sites (fractional):
Al: 0.000 0.000 0.000 (multiplicity 4)
Si: 0.000 0.000 0.500 (multiplicity 4)
Ru: 0.250 0.250 0.250 (multiplicity 8)

Values from the calculation:
* formation energy (no corrections): -712 meV per atom
* magnetization: 0.0 μB per cell
* distance to the lowest polymorph of the same formula: 3 meV/atom
* ρ: 8.25 g/cm³



Record 4
DFT (PBE-GGA) results for a relaxed BeFe2Ag crystal.

a = 8.149 Å, b = 2.754 Å, c = 4.641 Å
α = 90.00°, β = 104.30°, γ = 90.00°
Space group Cm (No. 8)
Symmetry-distinct sites (fractional):
Be: 0.000 0.000 0.000 (multiplicity 2)
Fe: 0.020 0.500 0.586 (multiplicity 2)
Fe: 0.266 0.000 0.780 (multiplicity 2)
Ag: 0.248 0.500 0.261 (multiplicity 2)

Values from the calculation:
* magnetization: 9.4 μB per cell
* formation energy from the elements: 0.2727 eV/atom
* ρ: 7.52 g/cm³



Record 5
DFT (PBE-GGA) results for a relaxed RbNaF2 crystal.

a = 4.235 Å, b = 4.235 Å, c = 8.500 Å
α = 90.00°, β = 90.00°, γ = 90.00°
Space group P4/nmm (No. 129, origin choice 2)
Symmetry-distinct sites (fractional):
Rb: 0.250 0.250 0.171 (multiplicity 2)
Na: 0.250 0.250 0.587 (multiplicity 2)
F: 0.250 0.250 0.848 (multiplicity 2)
F: 0.250 0.750 0.500 (multiplicity 2)

Values from the calculation:
* formation energy (no corrections): -2656 meV per atom
* magnetization: 0.3 μB per cell
* distance to the lowest polymorph of the same formula: 0 meV/atom
* ρ: 3.19 g/cm³



Record 6
DFT (PBE-GGA) results for a relaxed PrAlGaNi crystal.

a = 4.1272 Å, b = 4.1272 Å, c = 16.2285 Å
α = 90.00°, β = 90.00°, γ = 120.00°
Space group R3m (No. 160, hexagonal axes)
Symmetry-distinct sites (fractional):
Pr: 0.0000 0.0000 0.0000 (multiplicity 3)
Al: 0.0000 0.0000 0.7959 (multiplicity 3)
Ga: 0.0000 0.0000 0.2083 (multiplicity 3)
Ni: 0.0000 0.0000 0.4988 (multiplicity 3)

Values from the calculation:
* magnetization: 0.0 μB per cell
* formation energy from the elements: -0.5414 eV/atom
* ρ: 6.17 g/cm³



Record 7
DFT (PBE-GGA) results for a relaxed P2PbCCl crystal.

a = 4.092 Å, b = 4.092 Å, c = 10.208 Å
α = 90.00°, β = 90.00°, γ = 90.00°
Space group P4/mmm (No. 123)
Symmetry-distinct sites (fractional):
P: 0.000 0.500 0.000 (multiplicity 2)
Pb: 0.000 0.000 0.500 (multiplicity 1)
C: 0.500 0.500 0.000 (multiplicity 1)
Cl: 0.500 0.500 0.500 (multiplicity 1)

Values from the calculation:
* formation energy (no corrections): 1031 meV per atom
* magnetization: 0.0 μB per cell
* distance to the lowest polymorph of the same formula: 0 meV/atom
* ρ: 3.08 g/cm³



Record 8
DFT (PBE-GGA) results for a relaxed AlVAg3 crystal.

a = 4.778 Å, b = 4.778 Å, c = 4.778 Å
α = 90.00°, β = 90.00°, γ = 90.00°
Space group Pm-3m (No. 221)
Symmetry-distinct sites (fractional):
Al: 0.000 0.000 0.000 (multiplicity 1)
V: 0.500 0.500 0.500 (multiplicity 1)
Ag: 0.000 0.000 0.500 (multiplicity 3)

Values from the calculation:
* magnetization: 3.5 μB per cell
* formation energy from the elements: 0.7976 eV/atom
* distance to the lowest polymorph of the same formula: 0 meV/atom
* ρ: 6.11 g/cm³



Number 1 is which compound?
Zr2AlAu2



Number 8 is which compound?
AlVAg3



The highest ρ belongs to which entry?
Zr2AlAu2